Record 1
Here is an optimized crystal structure of GeSe2N2 from the Alexandria database. Energies are from PBE.

POSCAR file:
```
GeSe2N2
1.0
-2.375 -0.741 2.838
-1.852 -2.453 -2.190
4.228 -5.149 2.192
Ge Se N
1 2 2
Direct
0.500 0.500 0.500
0.000 0.000 0.500
0.000 0.000 0.000
0.000 0.500 0.000
0.500 0.000 0.000
```

Values from the calculation:
Crystal system: tetragonal
E above lowest polymorph: 1516 meV/atom
Magnetization: 0.000 μB/cell
Formation energy (no corrections): 1.444 eV per atom
N(E_F): 3.04 states/eV/cell
Total energy: -4.204 eV/atom

Record 2
Here is an optimized crystal structure of TcAgRu2 from the Alexandria database. Energies are from PBE.

POSCAR file:
```
TcAgRu2
1.0
2.708 0.000 0.000
0.000 2.708 0.000
0.000 0.000 8.181
Ru Tc Ag
2 1 1
Direct
0.500 0.500 0.244
0.000 0.000 0.020
0.000 0.000 0.483
0.500 0.500 0.753
```

Values from the calculation:
Crystal system: tetragonal
E above lowest polymorph: 157 meV/atom
Magnetization: 0.000 μB/cell
N(E_F): 5.21 states/eV/cell
Total energy: -7.590 eV/atom

Record 3
Here is an optimized crystal structure of HoSi3NiRh from the Alexandria database. Energies are from PBE.

POSCAR file:
```
HoSi3NiRh
1.0
5.487 0.000 0.000
0.000 6.083 0.000
0.000 -3.042 6.490
Si Ho Ni Rh
6 2 2 2
Direct
0.500 0.286 0.000
0.500 0.714 0.000
0.000 0.714 0.000
0.250 0.214 0.428
0.750 0.786 0.572
0.000 0.286 0.000
0.750 0.194 0.389
0.250 0.806 0.611
0.250 0.047 0.093
0.750 0.953 0.907
0.750 0.613 0.226
0.250 0.387 0.774
```

Values from the calculation:
Crystal system: orthorhombic
Magnetization: 0.000 μB/cell
Formation energy (no corrections): -0.472 eV per atom
N(E_F): 4.41 states/eV/cell
Total energy: -6.135 eV/atom

Record 4
Here is an optimized crystal structure of NpZnRu2 from the Alexandria database. Energies are from PBE.

POSCAR file:
```
NpZnRu2
1.0
-1.066 -2.964 0.845
2.642 -0.418 1.867
-2.990 2.437 4.777
Np Ru Zn
1 2 1
Direct
0.500 0.500 0.500
0.000 0.000 0.758
0.000 0.000 0.242
0.500 0.500 0.000
```

Values from the calculation:
Crystal system: tetragonal
Magnetization: 2.376 μB/cell
N(E_F): 2.94 states/eV/cell
Total energy: -8.263 eV/atom

Record 5
Here is an optimized crystal structure of MgSiN2F from the Alexandria database. Energies are from PBE.

POSCAR file:
```
MgSiN2F
1.0
-0.289 -3.887 -1.488
2.863 0.897 -2.899
2.669 -1.080 2.302
Mg Si F N
1 1 1 2
Direct
0.000 0.000 0.000
0.500 0.500 0.500
0.000 0.000 0.500
0.500 0.000 0.000
0.000 0.500 0.000
```

Values from the calculation:
Crystal system: tetragonal
E above lowest polymorph: 1361 meV/atom
Magnetization: 2.976 μB/cell
Formation energy (no corrections): 0.540 eV per atom
N(E_F): 2.76 states/eV/cell
Total energy: -4.568 eV/atom

Record 6
Here is an optimized crystal structure of LiMo5 from the Alexandria database. Energies are from PBE.

POSCAR file:
```
LiMo5
1.0
-2.635 1.622 -3.882
1.325 -4.776 0.279
-3.702 -0.902 2.136
Mo Li
5 1
Direct
0.000 0.668 0.000
0.668 0.000 0.000
0.667 0.333 0.500
0.332 0.332 0.000
0.333 0.667 0.500
0.000 0.000 0.500
```

Values from the calculation:
Crystal system: hexagonal
E above lowest polymorph: 104 meV/atom
Magnetization: 0.000 μB/cell
N(E_F): 6.04 states/eV/cell
Total energy: -8.882 eV/atom

Record 7
Here is an optimized crystal structure of Zr2NbH4 from the Alexandria database. Energies are from PBE.

POSCAR file:
```
Zr2NbH4
1.0
-2.786 -4.217 3.252
4.837 -3.539 -0.444
0.551 5.578 2.159
Zr Nb H
4 2 8
Direct
0.625 0.375 0.250
0.625 0.875 0.250
0.625 0.375 0.750
0.125 0.375 0.750
0.250 0.750 0.500
0.000 0.000 0.000
0.394 0.131 0.263
0.856 0.619 0.237
0.869 0.131 0.263
0.869 0.131 0.737
0.381 0.619 0.237
0.381 0.619 0.763
0.381 0.144 0.763
0.869 0.606 0.737
```

Values from the calculation:
Crystal system: cubic
Magnetization: 0.000 μB/cell
N(E_F): 4.76 states/eV/cell
Total energy: -6.051 eV/atom

Record 8
Here is an optimized crystal structure of Sr2WSe from the Alexandria database. Energies are from PBE.

POSCAR file:
```
Sr2WSe
1.0
4.491 0.000 0.000
0.000 4.502 0.000
0.000 0.000 6.514
Sr Se W
2 1 1
Direct
0.500 0.500 0.347
0.000 0.000 0.899
0.500 0.500 0.853
0.000 0.000 0.401
```

Values from the calculation:
Crystal system: orthorhombic
Magnetization: 4.006 μB/cell
Formation energy (no corrections): 0.423 eV per atom
N(E_F): 1.80 states/eV/cell
Total energy: -4.527 eV/atom

Record 9
Here is an optimized crystal structure of SmEuCu from the Alexandria database. Energies are from PBE.

POSCAR file:
```
SmEuCu
1.0
3.844 0.000 0.000
-1.922 3.329 0.000
0.000 0.000 7.163
Cu Sm Eu
1 1 1
Direct
0.667 0.333 0.322
0.000 0.000 0.068
0.333 0.667 0.610
```

Values from the calculation:
Crystal system: trigonal
E above lowest polymorph: 162 meV/atom
Magnetization: 7.538 μB/cell
N(E_F): 3.52 states/eV/cell
Total energy: -6.264 eV/atom

Record 10
Here is an optimized crystal structure of HoThFe10 from the Alexandria database. Energies are from PBE.

POSCAR file:
```
HoThFe10
1.0
-1.291 -3.249 -1.914
3.205 0.940 -3.760
6.078 -4.765 3.990
Fe Ho Th
10 1 1
Direct
0.500 0.252 0.746
0.000 0.000 0.336
0.500 0.748 0.254
0.500 0.500 0.000
0.500 0.748 0.746
0.000 0.500 0.170
0.500 0.252 0.254
0.000 0.500 0.830
0.500 0.000 0.500
0.000 0.000 0.664
0.000 0.500 0.500
0.000 0.000 0.000
```

Values from the calculation:
Crystal system: orthorhombic
Magnetization: 19.887 μB/cell
N(E_F): 13.87 states/eV/cell
Total energy: -8.104 eV/atom

Record 11
Here is an optimized crystal structure of TiCr2Cu from the Alexandria database. Energies are from PBE.

POSCAR file:
```
TiCr2Cu
1.0
0.000 2.976 2.976
2.976 0.000 2.976
2.976 2.976 0.000
Cr Cu Ti
2 1 1
Direct
0.250 0.250 0.250
0.750 0.750 0.750
0.500 0.500 0.500
0.000 0.000 0.000
```

Values from the calculation:
Crystal system: cubic
E above lowest polymorph: 0 meV/atom
Magnetization: 2.910 μB/cell
N(E_F): 4.32 states/eV/cell
Total energy: -7.438 eV/atom

Record 12
Here is an optimized crystal structure of La2SmHo7 from the Alexandria database. Energies are from PBE.

POSCAR file:
```
La2SmHo7
1.0
5.491 -2.194 1.774
-4.123 7.877 -5.889
2.669 -1.688 10.805
Ho Sm La
7 1 2
Direct
0.702 0.298 0.197
0.102 0.903 0.603
0.500 0.500 0.000
0.799 0.203 0.804
0.298 0.702 0.803
0.898 0.097 0.397
0.201 0.797 0.196
0.000 0.000 0.000
0.404 0.603 0.400
0.596 0.397 0.600
```

Values from the calculation:
Crystal system: triclinic
E above lowest polymorph: 0 meV/atom
Magnetization: 0.000 μB/cell
N(E_F): 14.05 states/eV/cell
Total energy: -4.636 eV/atom

Record 13
Here is an optimized crystal structure of CaAgAu from the Alexandria database. Energies are from PBE.

POSCAR file:
```
CaAgAu
1.0
-1.664 0.872 4.264
-5.078 -2.455 1.036
1.794 -5.481 1.803
Au Ag Ca
2 2 2
Direct
0.695 0.898 0.114
0.900 0.496 0.481
0.524 0.243 0.667
0.070 0.150 0.928
0.192 0.909 0.483
0.403 0.484 0.113
```

Values from the calculation:
Crystal system: triclinic
E above lowest polymorph: 32 meV/atom
Magnetization: 0.000 μB/cell
N(E_F): 2.34 states/eV/cell
Total energy: -3.177 eV/atom

Record 14
Here is an optimized crystal structure of Nd2InGe4Ir3 from the Alexandria database. Energies are from PBE.

POSCAR file:
```
Nd2InGe4Ir3
1.0
-4.190 -0.179 -1.079
1.039 -1.978 -3.709
-0.823 -9.338 4.749
Ge Ir In Nd
4 3 1 2
Direct
0.000 0.500 0.348
0.000 0.000 0.000
0.500 0.000 0.652
0.500 0.500 0.000
0.500 0.000 0.882
0.000 0.500 0.118
0.000 0.000 0.500
0.500 0.500 0.500
0.500 0.000 0.235
0.000 0.500 0.765
```

Values from the calculation:
Crystal system: tetragonal
Magnetization: 0.000 μB/cell
N(E_F): 5.22 states/eV/cell
Total energy: -6.357 eV/atom

Record 15
Here is an optimized crystal structure of Tl2Co3Br9 from the Alexandria database. Energies are from PBE.

POSCAR file:
```
Tl2Co3Br9
1.0
9.735 -0.019 -2.193
-3.350 8.612 -4.748
0.043 0.122 10.389
Br Tl Co
18 4 6
Direct
0.156 0.892 0.490
0.794 0.105 0.916
0.156 0.490 0.892
0.794 0.916 0.105
0.500 0.807 0.193
0.486 0.823 0.630
0.206 0.895 0.084
0.844 0.108 0.510
0.197 0.281 0.281
0.486 0.630 0.823
0.206 0.084 0.895
0.803 0.719 0.719
0.844 0.510 0.108
0.808 0.283 0.283
0.192 0.717 0.717
0.514 0.177 0.370
0.500 0.193 0.807
0.514 0.370 0.177
0.804 0.427 0.756
0.804 0.756 0.427
0.196 0.573 0.244
0.196 0.244 0.573
0.329 0.949 0.739
0.329 0.739 0.949
0.656 0.854 0.854
0.344 0.146 0.146
0.671 0.261 0.051
0.671 0.051 0.261
```

Values from the calculation:
Crystal system: monoclinic
Magnetization: 7.976 μB/cell
Formation energy (no corrections): -0.359 eV per atom
N(E_F): 35.22 states/eV/cell
Total energy: -3.295 eV/atom

Record 16
Here is an optimized crystal structure of SrTa2Te from the Alexandria database. Energies are from PBE.

POSCAR file:
```
SrTa2Te
1.0
6.133 -0.003 0.000
3.217 5.222 0.000
-4.675 -2.609 2.992
Ta Te Sr
2 1 1
Direct
0.500 0.500 0.000
0.000 0.000 0.000
0.250 0.750 0.500
0.750 0.250 0.500
```

Values from the calculation:
Crystal system: tetragonal
E above lowest polymorph: 515 meV/atom
Magnetization: 0.000 μB/cell
Formation energy (no corrections): 0.642 eV per atom
N(E_F): 5.09 states/eV/cell
Total energy: -6.490 eV/atom

Record 17
Here is an optimized crystal structure of Cs2PmI6 from the Alexandria database. Energies are from PBE.

POSCAR file:
```
Cs2PmI6
1.0
-6.405 2.043 -6.423
-1.639 -0.262 9.204
2.432 5.668 7.031
I Cs Pm
6 2 1
Direct
0.221 0.709 0.229
0.779 0.771 0.291
0.779 0.291 0.771
0.689 0.773 0.773
0.221 0.229 0.709
0.311 0.227 0.227
0.724 0.220 0.220
0.276 0.780 0.780
0.000 0.000 0.000
```

Values from the calculation:
Crystal system: monoclinic
E above lowest polymorph: 0 meV/atom
Magnetization: 0.000 μB/cell
Formation energy (no corrections): -1.284 eV per atom
N(E_F): 5.18 states/eV/cell
Total energy: -3.035 eV/atom

Record 18
Here is an optimized crystal structure of Na2Ga7Ge from the Alexandria database. Energies are from PBE.

POSCAR file:
```
Na2Ga7Ge
1.0
-1.937 -3.780 0.777
0.024 -0.882 -4.227
10.006 -4.905 1.081
Ga Na Ge
7 2 1
Direct
0.000 0.000 0.500
0.000 0.000 0.000
0.500 0.500 0.500
0.500 0.000 0.139
0.000 0.500 0.861
0.000 0.500 0.638
0.500 0.000 0.362
0.500 0.000 0.749
0.000 0.500 0.251
0.500 0.500 0.000
```

Values from the calculation:
Crystal system: tetragonal
Magnetization: 0.000 μB/cell
N(E_F): 2.26 states/eV/cell
Total energy: -2.969 eV/atom

Record 19
Here is an optimized crystal structure of CaTmZn2Ga2 from the Alexandria database. Energies are from PBE.

POSCAR file:
```
CaTmZn2Ga2
1.0
4.453 0.000 0.000
-2.227 3.856 0.000
0.000 0.000 7.280
Ca Zn Ga Tm
1 2 2 1
Direct
0.000 0.000 0.000
0.667 0.333 0.282
0.333 0.667 0.718
0.333 0.667 0.281
0.667 0.333 0.719
0.000 0.000 0.500
```

Values from the calculation:
Crystal system: trigonal
Magnetization: 0.000 μB/cell
N(E_F): 2.91 states/eV/cell
Total energy: -3.005 eV/atom

Record 20
Here is an optimized crystal structure of ScAl2Hg from the Alexandria database. Energies are from PBE.

POSCAR file:
```
ScAl2Hg
1.0
-1.103 -4.315 -0.068
1.634 -0.460 2.671
-4.629 1.136 3.028
Hg Al Sc
1 2 1
Direct
0.500 0.250 0.250
0.000 0.250 0.517
0.000 0.250 0.983
0.500 0.750 0.750
```

Values from the calculation:
Crystal system: orthorhombic
Magnetization: 0.000 μB/cell
N(E_F): 2.28 states/eV/cell
Total energy: -3.762 eV/atom